w.
A PBEsol-optimized structure of LiSi2Ir. Source: the Alexandria database, functional meta-GGA SCAN.

Total magnetization   0.0 μB per formula unit
Space group   Fm-3m, No. 225

Cell lengths 4.1498, 4.1498, 4.1498 Å; angles 60.00, 60.00, 60.00 degrees
Closest atoms and distances in Å follow each position.
Fractional positions:
Li1 0.0000 0.0000 0.0000  8 Si 2.54
Si1 0.2500 0.2500 0.2500  4 Li 2.54, 4 Ir 2.54
Si2 0.7500 0.7500 0.7500  4 Ir 2.54, 4 Li 2.54
Ir1 0.5000 0.5000 0.5000  8 Si 2.54

x.
A PBEsol-optimized structure of LiSi2Ir. Source: the Alexandria database, functional meta-GGA SCAN.

Total magnetization   0.0 μB per formula unit
Space group   Pmm2, No. 25

Cell lengths 2.8852, 3.5024, 5.0151 Å; angles 90.00, 90.00, 90.00 degrees
Closest atoms and distances in Å follow each position.
Fractional positions:
Li1 0.0000 0.0000 0.0000  6 Si 2.49-2.53, 4 Ir 2.66
Si1 0.0000 0.0000 0.5036  2 Li 2.49-2.53, 4 Ir 2.52, 4 Si 2.67
Si2 0.5000 0.5000 0.2240  2 Ir 2.50-2.52, 4 Li 2.53, 4 Si 2.67
Ir1 0.5000 0.5000 0.7224  6 Si 2.50-2.52, 4 Li 2.66

Relative to the most stable structure, the computed energies are w 0.0; x 22.8, all in kJ/mol of atoms.